# Ca2InSbBr8 PBE optimized geometry
# V: 35.928 A^3/atom
# Energy relative to the elements, uncorrected: -15.3 eV per formula unit
# Final energy: -3.30 eV per atom
data_Ca2InSbBr8
_space_group_name_H-M_alt 'P -1'
_space_group_IT_number 2
_cell_length_a 6.740
_cell_length_b 7.070
_cell_length_c 9.048
_cell_angle_alpha 89.98
_cell_angle_beta 89.96
_cell_angle_gamma 89.91
loop_
_space_group_symop_operation_xyz
'x,y,z'
'-x,-y,-z'
loop_
_atom_site_label
_atom_site_fract_x
_atom_site_fract_y
_atom_site_fract_z
Ca1 0.000 0.000 0.247
In1 0.500 0.500 0.000
Sb1 0.500 0.500 0.500
Br1 0.228 0.133 0.000
Br2 0.246 0.165 0.500
Br3 0.253 0.661 0.718
Br4 0.253 0.662 0.283